Arrangement 1

## HfSnH (PBE)

Data for an optimized crystal structure of HfSnH.

Geometry as extended XYZ:
```
12
Lattice="9.3883 0.0000 0.0000 0.0000 3.3624 0.0000 0.0000 0.0000 6.0320" Properties=species:S:1:pos:R:3 pbc="T T T"
Hf 0.0163 0.8406 1.4530
Hf 4.6779 2.5218 4.4690
Hf 4.7104 0.8406 1.5630
Hf 9.3720 2.5218 4.5790
Sn 2.2387 0.8406 3.4587
Sn 2.4555 2.5218 0.4427
Sn 6.9328 0.8406 5.5894
Sn 7.1496 2.5218 2.5733
H 0.5029 0.8406 5.5387
H 4.1913 2.5218 2.5227
H 5.1970 0.8406 3.5094
H 8.8854 2.5218 0.4933
```

***

Arrangement 2

## HfSnH (PBE)

Data for an optimized crystal structure of HfSnH.

Geometry as extended XYZ:
```
12
Lattice="10.0593 -1.6011 0.0000 10.0593 1.6011 0.0000 -1.0069 0.0000 6.2212" Properties=species:S:1:pos:R:3 pbc="T T T"
Hf 3.5806 0.0000 0.5381
Hf 3.0696 0.0000 3.6972
Hf 16.0421 0.0000 2.5239
Hf 15.5310 0.0000 5.6830
Sn 0.3184 0.0000 4.8151
Sn 7.7299 0.0000 4.4304
Sn 11.3818 0.0000 1.7907
Sn 18.7933 0.0000 1.4061
H 4.6563 0.0000 2.3421
H 4.1818 0.0000 5.4397
H 14.9299 0.0000 0.7815
H 14.4553 0.0000 3.8791
```

***

Arrangement 3

## HfSnH (PBE)

Data for an optimized crystal structure of HfSnH.

Geometry as extended XYZ:
```
3
Lattice="3.4632 0.0000 0.0000 -1.7316 2.9992 0.0000 0.0000 0.0000 4.5530" Properties=species:S:1:pos:R:3 pbc="T T T"
Hf 0.0000 0.0000 0.0000
Sn 1.7316 0.9997 2.2765
H 0.0000 1.9995 0.0000
```

***

The data favor arrangement 3; the next most stable structure lies 113 meV/atom above it.